# CoMo2Rh

A relaxed structure of CoMo2Rh (GGA-PBEsol, Alexandria).

Summary:
M_tot in μB/f.u.: 0.00
DFT formation energy in meV/atom: -81.6
N(E_F) in states/eV/cell: 2.17
Offset from the most stable computed form in kJ per mole of atoms: 0.0
Calculated volume in A^3/atom: 13.4

Cell lengths 3.756, 3.756, 3.787 Å; angles 90.00, 90.00, 90.00 degrees
Positions (direct):
Co  0.000  0.000  0.000
Mo  0.000  0.500  0.500
Mo  0.500  0.000  0.500
Rh  0.500  0.500  0.000